(1)
## P4N3Cl11 (GGA-PBE)

Data for P4N3Cl11 after structural relaxation.

Calculated values
As for the space group: R3.

a = 8.132 Å, b = 8.132 Å, c = 8.132 Å
α = 84.34°, β = 84.34°, γ = 84.34°
Fractional positions:
P1 0.000 0.000 0.000
P2 0.293 0.880 0.788
P3 0.788 0.293 0.880
P4 0.880 0.788 0.293
N1 0.126 0.874 0.899
N2 0.874 0.899 0.126
N3 0.899 0.126 0.874
Cl1 0.082 0.628 0.318
Cl2 0.133 0.133 0.133
Cl3 0.318 0.082 0.628
Cl4 0.330 0.685 0.654
Cl5 0.407 0.407 0.407
Cl6 0.492 0.865 0.920
Cl7 0.628 0.318 0.082
Cl8 0.654 0.330 0.685
Cl9 0.685 0.654 0.330
Cl10 0.865 0.920 0.492
Cl11 0.920 0.492 0.865

(2)
## PNCl2 (GGA-PBE)

Data for PNCl2 after structural relaxation.

Calculated values
As for the space group: Pnma.

a = 15.006 Å, b = 13.844 Å, c = 6.647 Å
α = 90.00°, β = 90.00°, γ = 90.00°
Fractional positions:
P1 0.051 0.250 0.061
P2 0.096 0.650 0.080
P3 0.096 0.850 0.080
P4 0.404 0.150 0.580
P5 0.404 0.350 0.580
P6 0.449 0.750 0.561
P7 0.551 0.250 0.439
P8 0.596 0.650 0.420
P9 0.596 0.850 0.420
P10 0.904 0.150 0.920
P11 0.904 0.350 0.920
P12 0.949 0.750 0.939
N1 0.001 0.151 0.017
N2 0.001 0.349 0.017
N3 0.145 0.750 0.124
N4 0.355 0.250 0.624
N5 0.499 0.651 0.517
N6 0.499 0.849 0.517
N7 0.501 0.151 0.483
N8 0.501 0.349 0.483
N9 0.645 0.750 0.376
N10 0.855 0.250 0.876
N11 0.999 0.651 0.983
N12 0.999 0.849 0.983
Cl1 0.093 0.250 0.349
Cl2 0.093 0.572 0.336
Cl3 0.093 0.928 0.336
Cl4 0.168 0.250 0.911
Cl5 0.177 0.569 0.905
Cl6 0.177 0.931 0.905
Cl7 0.323 0.069 0.405
Cl8 0.323 0.431 0.405
Cl9 0.332 0.750 0.411
Cl10 0.407 0.072 0.836
Cl11 0.407 0.428 0.836
Cl12 0.407 0.750 0.849
Cl13 0.593 0.250 0.151
Cl14 0.593 0.572 0.164
Cl15 0.593 0.928 0.164
Cl16 0.668 0.250 0.589
Cl17 0.677 0.569 0.595
Cl18 0.677 0.931 0.595
Cl19 0.823 0.069 0.095
Cl20 0.823 0.431 0.095
Cl21 0.832 0.750 0.089
Cl22 0.907 0.072 0.664
Cl23 0.907 0.428 0.664
Cl24 0.907 0.750 0.651

Values for energy relative to the lowest polymorph listed for this composition, meV/atom, ordered as above
6, 10
Values for Fermi-level density of states, states/eV/cell, ordered as above
0.00, 0.00
Values for total energy, eV/atom, ordered as above
-4.30, -4.93